1.
The following is a GGA-PBE calculation of an optimized crystal structure of NdErLuSn, from Alexandria.

abc: 5.421 5.421 5.421
angles: 60.00 60.00 60.00
Sites, in units of the cell vectors:
Lu: 0.500 0.500 0.500
Nd: 0.250 0.250 0.250
Sn: 0.000 0.000 0.000
Er: 0.750 0.750 0.750

magnetic moment	0.0000	μB per atom
space-group type	F-43m, No. 216
E_form	-22.6	kJ per mole of atoms
uncorrected energy	-18.79	eV per cell

2.
The following is a GGA-PBE calculation of an optimized crystal structure of Sm3HoTm4, from Alexandria.

abc: 3.459 11.548 8.811
angles: 130.92 101.28 89.96
Sites, in units of the cell vectors:
Tm: 0.636 0.380 0.270
Tm: 0.364 0.620 0.730
Tm: 0.364 0.110 0.729
Tm: 0.636 0.890 0.271
Ho: 0.500 0.000 0.000
Sm: 0.000 0.500 0.000
Sm: 0.757 0.756 0.512
Sm: 0.243 0.244 0.488

magnetic moment	0.0000	μB per atom
space-group type	C2/m, No. 12
E_form	13.4	kJ per mole of atoms
relative energy among the computed polymorphs	0.125	eV/atom
uncorrected energy	-35.51	eV per cell

Question: Which formula does entry 1 have?
Answer: NdErLuSn

Question: E_form of number 1 (NdErLuSn)?
Answer: -22.6 kJ per mole of atoms

Question: Which value of magnetic moment does entry 1 give?
Answer: 0.0000 μB per atom